# Pm2MnZnO6, optimized geometry, DFT GGA+U
data_Pm2MnZnO6
_space_group_name_H-M_alt 'P 1 21/c 1'
_space_group_IT_number 14
_space_group_name_Hall '-P 2ybc'
_cell_length_a 5.4262
_cell_length_b 5.6771
_cell_length_c 9.4490
_cell_angle_alpha 90.00
_cell_angle_beta 124.95
_cell_angle_gamma 90.00
loop_
_atom_site_label
_atom_site_type_symbol
_atom_site_fract_x
_atom_site_fract_y
_atom_site_fract_z
Pm1 Pm 0.2332 0.0622 0.2491
Mn1 Mn 0.5000 0.0000 0.0000
Zn1 Zn 0.0000 0.0000 0.5000
O1 O 0.1637 0.1910 0.9521
O2 O 0.2586 0.7143 0.9472
O3 O 0.3559 0.0299 0.7599
# DFT total energy   -0.5333 Ry/atom
# V   119.3 Å³/f.u.
# Magnetization   2.9 μB per formula unit